# BaZn5Cd7 (GGA-PBE, optimized geometry)
data_BaZn5Cd7
_symmetry_space_group_name_H-M 'I m m 2'
_symmetry_Int_Tables_number 44
_cell_length_a 5.634
_cell_length_b 9.861
_cell_length_c 9.924
_cell_angle_alpha 90.00
_cell_angle_beta 90.00
_cell_angle_gamma 90.00
loop_
_symmetry_equiv_pos_as_xyz
'x,y,z'
'-x,-y,z'
'-x,y,z'
'x,-y,z'
'x+1/2,y+1/2,z+1/2'
'-x+1/2,-y+1/2,z+1/2'
'-x+1/2,y+1/2,z+1/2'
'x+1/2,-y+1/2,z+1/2'
loop_
_atom_site_label
_atom_site_type_symbol
_atom_site_fract_x
_atom_site_fract_y
_atom_site_fract_z
Ba1 Ba 0.000 0.000 0.000
Zn1 Zn 0.000 0.500 0.272
Zn2 Zn 0.247 0.259 0.253
Cd1 Cd 0.000 0.000 0.354
Cd2 Cd 0.000 0.000 0.652
Cd3 Cd 0.000 0.282 0.502
Cd4 Cd 0.000 0.352 0.003
Cd5 Cd 0.000 0.500 0.726
# Calculated volume, Å³ per atom: 21.2
# Density of states at the Fermi level, states/eV/f.u.: 3.45
# Energy of formation from the pure elements, eV/atom: -0.10

# Tb4Sm4Sc3 (GGA-PBE, optimized geometry)
data_Tb4Sm4Sc3
_symmetry_space_group_name_H-M 'P -1'
_symmetry_Int_Tables_number 2
_cell_length_a 3.428
_cell_length_b 5.566
_cell_length_c 17.761
_cell_angle_alpha 81.00
_cell_angle_beta 84.47
_cell_angle_gamma 90.00
loop_
_symmetry_equiv_pos_as_xyz
'x,y,z'
'-x,-y,-z'
loop_
_atom_site_label
_atom_site_type_symbol
_atom_site_fract_x
_atom_site_fract_y
_atom_site_fract_z
Tb1 Tb 0.045 0.046 0.409
Tb2 Tb 0.178 0.679 0.142
Sm1 Sm 0.089 0.590 0.321
Sm2 Sm 0.231 0.230 0.039
Sc1 Sc 0.366 0.865 0.769
Sc2 Sc 0.500 0.500 0.500
# Calculated volume, Å³ per atom: 30.3
# Density of states at the Fermi level, states/eV/f.u.: 21.48
# Energy of formation from the pure elements, eV/atom: 0.11

# Pm2Zn3PdPt4 (GGA-PBE, optimized geometry)
data_Pm2Zn3PdPt4
_symmetry_space_group_name_H-M 'P -4 m 2'
_symmetry_Int_Tables_number 115
_cell_length_a 4.066
_cell_length_b 4.066
_cell_length_c 11.505
_cell_angle_alpha 90.00
_cell_angle_beta 90.00
_cell_angle_gamma 90.00
loop_
_symmetry_equiv_pos_as_xyz
'x,y,z'
'y,-x,-z'
'-x,-y,z'
'-y,x,-z'
'-x,y,z'
'-y,-x,-z'
'x,-y,z'
'y,x,-z'
loop_
_atom_site_label
_atom_site_type_symbol
_atom_site_fract_x
_atom_site_fract_y
_atom_site_fract_z
Pm1 Pm 0.000 0.500 0.248
Zn1 Zn 0.000 0.500 0.868
Zn2 Zn 0.500 0.500 0.500
Pd1 Pd 0.000 0.000 0.500
Pt1 Pt 0.000 0.000 0.000
Pt2 Pt 0.000 0.500 0.653
Pt3 Pt 0.500 0.500 0.000
# Calculated volume, Å³ per atom: 19.0
# Density of states at the Fermi level, states/eV/f.u.: 4.62
# Energy of formation from the pure elements, eV/atom: -0.76

# BeVMoH2 (GGA-PBE, optimized geometry)
data_BeVMoH2
_symmetry_space_group_name_H-M 'P 4/m m m'
_symmetry_Int_Tables_number 123
_symmetry_space_group_name_Hall '-P 4 2'
_cell_length_a 3.364
_cell_length_b 3.364
_cell_length_c 4.739
_cell_angle_alpha 90.00
_cell_angle_beta 90.00
_cell_angle_gamma 90.00
loop_
_atom_site_label
_atom_site_type_symbol
_atom_site_fract_x
_atom_site_fract_y
_atom_site_fract_z
Be1 Be 0.000 0.000 0.000
V1 V 0.000 0.000 0.500
Mo1 Mo 0.500 0.500 0.500
H1 H 0.000 0.500 0.000
# Total DFT energy (no corrections), eV/atom: -5.021
# Calculated volume, Å³ per atom: 10.7
# Density of states at the Fermi level, states/eV/f.u.: 3.69

# CaCd12Pd4 (GGA-PBE, optimized geometry)
data_CaCd12Pd4
_symmetry_space_group_name_H-M 'I m -3'
_symmetry_Int_Tables_number 204
_symmetry_space_group_name_Hall '-I 2 2 3'
_cell_length_a 9.515
_cell_length_b 9.515
_cell_length_c 9.515
_cell_angle_alpha 90.00
_cell_angle_beta 90.00
_cell_angle_gamma 90.00
loop_
_atom_site_label
_atom_site_type_symbol
_atom_site_fract_x
_atom_site_fract_y
_atom_site_fract_z
Ca1 Ca 0.000 0.000 0.000
Cd1 Cd 0.000 0.159 0.344
Pd1 Pd 0.250 0.250 0.250
# Calculated volume, Å³ per atom: 25.3
# Density of states at the Fermi level, states/eV/f.u.: 11.23
# Energy of formation from the pure elements, eV/atom: -0.04

# Rb2BeCoBr6 (GGA-PBE, optimized geometry)
data_Rb2BeCoBr6
_symmetry_space_group_name_H-M 'I 4/m m m'
_symmetry_Int_Tables_number 139
_symmetry_space_group_name_Hall '-I 4 2'
_cell_length_a 7.273
_cell_length_b 7.273
_cell_length_c 11.014
_cell_angle_alpha 90.00
_cell_angle_beta 90.00
_cell_angle_gamma 90.00
loop_
_atom_site_label
_atom_site_type_symbol
_atom_site_fract_x
_atom_site_fract_y
_atom_site_fract_z
Rb1 Rb 0.000 0.500 0.250
Be1 Be 0.000 0.000 0.000
Co1 Co 0.000 0.000 0.500
Br1 Br 0.000 0.000 0.281
Br2 Br 0.229 0.229 0.000
# Calculated volume, Å³ per atom: 29.1
# ΔE_f (raw), eV/atom: -0.905
# Density of states at the Fermi level, states/eV/f.u.: 10.09

# Pm2CuB (GGA-PBE, optimized geometry)
data_Pm2CuB
_symmetry_space_group_name_H-M 'P 4/m m m'
_symmetry_Int_Tables_number 123
_symmetry_space_group_name_Hall '-P 4 2'
_cell_length_a 4.854
_cell_length_b 4.854
_cell_length_c 3.481
_cell_angle_alpha 90.00
_cell_angle_beta 90.00
_cell_angle_gamma 90.00
loop_
_atom_site_label
_atom_site_type_symbol
_atom_site_fract_x
_atom_site_fract_y
_atom_site_fract_z
Pm1 Pm 0.000 0.500 0.000
Cu1 Cu 0.000 0.000 0.500
B1 B 0.500 0.500 0.500
# Calculated volume, Å³ per atom: 20.5
# Density of states at the Fermi level, states/eV/f.u.: 4.72
# Energy of formation from the pure elements, eV/atom: 0.17

# TlAsSN2 (GGA-PBE, optimized geometry)
data_TlAsSN2
_symmetry_space_group_name_H-M 'P 4/m m m'
_symmetry_Int_Tables_number 123
_symmetry_space_group_name_Hall '-P 4 2'
_cell_length_a 4.277
_cell_length_b 4.277
_cell_length_c 5.607
_cell_angle_alpha 90.00
_cell_angle_beta 90.00
_cell_angle_gamma 90.00
loop_
_atom_site_label
_atom_site_type_symbol
_atom_site_fract_x
_atom_site_fract_y
_atom_site_fract_z
Tl1 Tl 0.000 0.000 0.000
As1 As 0.500 0.500 0.500
S1 S 0.000 0.000 0.500
N1 N 0.000 0.500 0.000
# Calculated volume, Å³ per atom: 20.5
# ΔE_f (raw), eV/atom: 2.004
# Density of states at the Fermi level, states/eV/f.u.: 2.39
# Offset from the most stable computed form, meV per atom: 899

# K2YHg (GGA-PBE, optimized geometry)
data_K2YHg
_symmetry_space_group_name_H-M 'P 1 m 1'
_symmetry_Int_Tables_number 6
_cell_length_a 3.949
_cell_length_b 3.941
_cell_length_c 11.216
_cell_angle_alpha 90.00
_cell_angle_beta 90.17
_cell_angle_gamma 90.00
loop_
_symmetry_equiv_pos_as_xyz
'x,y,z'
'x,-y,z'
loop_
_atom_site_label
_atom_site_type_symbol
_atom_site_fract_x
_atom_site_fract_y
_atom_site_fract_z
K1 K 0.000 0.000 0.000
K2 K 0.498 0.500 0.365
Y1 Y 0.498 0.500 0.707
Hg1 Hg 0.997 0.000 0.593
# Calculated volume, Å³ per atom: 43.6
# Density of states at the Fermi level, states/eV/f.u.: 2.51
# Energy of formation from the pure elements, eV/atom: -0.05

# CdP2S (GGA-PBE, optimized geometry)
data_CdP2S
_symmetry_space_group_name_H-M 'F m -3 m'
_symmetry_Int_Tables_number 225
_symmetry_space_group_name_Hall '-F 4 2 3'
_cell_length_a 6.537
_cell_length_b 6.537
_cell_length_c 6.537
_cell_angle_alpha 90.00
_cell_angle_beta 90.00
_cell_angle_gamma 90.00
loop_
_atom_site_label
_atom_site_type_symbol
_atom_site_fract_x
_atom_site_fract_y
_atom_site_fract_z
Cd1 Cd 0.000 0.000 0.000
P1 P 0.250 0.250 0.250
S1 S 0.000 0.000 0.500
# Calculated volume, Å³ per atom: 17.5
# ΔE_f (raw), eV/atom: 0.787
# Density of states at the Fermi level, states/eV/f.u.: 2.25
# Offset from the most stable computed form, meV per atom: 351

# ZrHg2Te2 (GGA-PBE, optimized geometry)
data_ZrHg2Te2
_symmetry_space_group_name_H-M 'I 4/m m m'
_symmetry_Int_Tables_number 139
_symmetry_space_group_name_Hall '-I 4 2'
_cell_length_a 3.848
_cell_length_b 3.848
_cell_length_c 19.853
_cell_angle_alpha 90.00
_cell_angle_beta 90.00
_cell_angle_gamma 90.00
loop_
_atom_site_label
_atom_site_type_symbol
_atom_site_fract_x
_atom_site_fract_y
_atom_site_fract_z
Zr1 Zr 0.000 0.000 0.000
Hg1 Hg 0.000 0.500 0.250
Te1 Te 0.000 0.000 0.417
# Calculated volume, Å³ per atom: 29.4
# ΔE_f (raw), eV/atom: -0.222
# Density of states at the Fermi level, states/eV/f.u.: 4.39
# Offset from the most stable computed form, meV per atom: 0

# VHIr2Rh (GGA-PBE, optimized geometry)
data_VHIr2Rh
_symmetry_space_group_name_H-M 'P 4/m m m'
_symmetry_Int_Tables_number 123
_symmetry_space_group_name_Hall '-P 4 2'
_cell_length_a 3.872
_cell_length_b 3.872
_cell_length_c 3.912
_cell_angle_alpha 90.00
_cell_angle_beta 90.00
_cell_angle_gamma 90.00
loop_
_atom_site_label
_atom_site_type_symbol
_atom_site_fract_x
_atom_site_fract_y
_atom_site_fract_z
V1 V 0.000 0.000 0.000
H1 H 0.000 0.000 0.500
Ir1 Ir 0.000 0.500 0.500
Rh1 Rh 0.500 0.500 0.000
# Calculated volume, Å³ per atom: 11.7
# Density of states at the Fermi level, states/eV/f.u.: 3.16
# Offset from the most stable computed form, meV per atom: 0